## VCu5Au8 (PBE)

Data for VCu5Au8 after structural relaxation.

energy: -108.1 eV/cell
energy of formation from the pure elements: 1.77 eV/f.u.
M_tot: 2.5 μB/f.u.

Unit cell a=7.7342 b=7.7342 c=7.8420 alpha=90.00 beta=90.00 gamma=90.00
Last column: nearest neighbours and their distance in Å.
Space group I-4 (No. 82)
Unique sites:
V: 0.0000 0.0000 0.0000 (multiplicity 2)  8 Au 2.68-2.86
Cu: 0.0000 0.5000 0.2500 (multiplicity 2)  8 Au 2.59-2.67
Cu: 0.1267 0.2738 0.6522 (multiplicity 8)  8 Au 2.61-2.78
Au: 0.0709 0.1686 0.3173 (multiplicity 8)  5 Cu 2.67-2.78, 3 Au 2.83-2.95, 1 V 2.86
Au: 0.0919 0.3328 0.9778 (multiplicity 8)  5 Cu 2.59-2.70, 1 V 2.68, 1 Au 2.90